Record 1
MnInIN2: relaxed, PBE-GGA.

abc: 3.949 3.949 5.576
angles: 90.00 90.00 90.00
Positions (direct):
I 0.000 0.000 0.500
N 0.000 0.500 0.000
N 0.500 0.000 0.000
Mn 0.000 0.000 0.000
In 0.500 0.500 0.500

## Properties
* excess energy over the best structure of this formula in the dataset: 0 meV/atom
* E_form (uncorrected): 1.0105 eV/atom

Record 2
MnInNi2I: relaxed, PBE-GGA.

abc: 4.456 5.212 4.456
angles: 90.00 90.00 90.00
Positions (direct):
I 0.500 0.500 0.500
Ni 0.000 0.000 0.500
Ni 0.500 0.000 0.000
Mn 0.000 0.000 0.000
In 0.000 0.500 0.000

## Properties
* E_form (uncorrected): 1.0199 eV/atom

Record 3
MnInPbI5: relaxed, PBE-GGA.

abc: 8.551 8.551 11.481
angles: 104.67 104.67 105.36
Positions (direct):
Mn 0.683 0.317 0.250
Mn 0.317 0.683 0.750
In 0.354 0.646 0.250
In 0.646 0.354 0.750
Pb 0.000 0.000 0.500
Pb 0.000 0.000 0.000
I 0.103 0.897 0.250
I 0.897 0.103 0.750
I 0.927 0.345 0.139
I 0.073 0.655 0.861
I 0.655 0.073 0.361
I 0.345 0.927 0.639
I 0.735 0.607 0.441
I 0.265 0.393 0.559
I 0.393 0.265 0.059
I 0.607 0.735 0.941

## Properties
* E_form (uncorrected): -0.4925 eV/atom

What total energy values result from the calculations? In sequence: -25.1 -19.9 -54.6 eV for the cell shown.